# 1
The following is a PBE-GGA calculation of crystalline TaPb3Cl at its relaxed geometry, from the Alexandria database.

Offset from the most stable computed form   0.00 kJ per mole of atoms

Cell: 5.510 5.510 5.510 Å, 90.00 90.00 90.00°
Fractional coordinates of all 5 atoms:
Cl  0.500  0.500  0.500
Pb  0.000  0.000  0.500
Ta  0.000  0.000  0.000
Pb  0.000  0.500  0.000
Pb  0.500  0.000  0.000


# 2
The following is a PBE-GGA calculation of crystalline TaPb3Cl at its relaxed geometry, from the Alexandria database.

Offset from the most stable computed form   82.34 kJ per mole of atoms

Cell: 5.354 5.354 5.354 Å, 90.00 90.00 90.00°
Fractional coordinates of all 5 atoms:
Pb  0.000  0.000  0.500
Cl  0.000  0.000  0.000
Ta  0.500  0.500  0.500
Pb  0.500  0.000  0.000
Pb  0.000  0.500  0.000


# 3
The following is a PBE-GGA calculation of crystalline TaPb2Cl at its relaxed geometry, from the Alexandria database.

Offset from the most stable computed form   0.00 kJ per mole of atoms

Cell: 3.377 3.377 10.964 Å, 90.00 90.00 123.20°
Fractional coordinates of all 4 atoms:
Ta  0.000  0.000  0.516
Pb  0.000  0.000  0.008
Cl  0.500  0.500  0.691
Pb  0.500  0.500  0.285


# 4
The following is a PBE-GGA calculation of crystalline TaPb2Cl at its relaxed geometry, from the Alexandria database.

Offset from the most stable computed form   39.77 kJ per mole of atoms

Cell: 5.680 5.680 5.654 Å, 84.14 84.14 32.67°
Fractional coordinates of all 4 atoms:
Ta  0.750  0.750  0.750
Pb  0.480  0.480  0.514
Cl  0.250  0.250  0.250
Pb  0.020  0.020  0.986


# 5
The following is a PBE-GGA calculation of crystalline TaPb2Cl at its relaxed geometry, from the Alexandria database.

Offset from the most stable computed form   14.80 kJ per mole of atoms

Cell: 3.290 3.290 9.157 Å, 90.00 90.00 102.83°
Fractional coordinates of all 4 atoms:
Pb  0.000  0.000  0.493
Pb  0.000  0.000  0.007
Cl  0.500  0.500  0.750
Ta  0.500  0.500  0.250


# 6
The following is a PBE-GGA calculation of crystalline TaPb2Cl at its relaxed geometry, from the Alexandria database.

Offset from the most stable computed form   6.82 kJ per mole of atoms

Cell: 3.088 3.088 11.985 Å, 90.00 90.00 90.00°
Fractional coordinates of all 4 atoms:
Pb  0.500  0.500  0.324
Pb  0.000  0.000  0.998
Cl  0.500  0.500  0.656
Ta  0.000  0.000  0.522


# 7
The following is a PBE-GGA calculation of crystalline TaPb2Cl at its relaxed geometry, from the Alexandria database.

Offset from the most stable computed form   50.23 kJ per mole of atoms

Cell: 5.600 5.600 5.600 Å, 131.78 131.78 70.58°
Fractional coordinates of all 4 atoms:
Cl  0.750  0.250  0.500
Pb  0.000  0.000  0.000
Ta  0.250  0.750  0.500
Pb  0.500  0.500  0.000


# 8
The following is a PBE-GGA calculation of crystalline TaPb2Cl at its relaxed geometry, from the Alexandria database.

Offset from the most stable computed form   17.37 kJ per mole of atoms

Cell: 10.163 10.163 10.163 Å, 18.87 18.87 18.87°
Fractional coordinates of all 4 atoms:
Pb  0.001  0.001  0.001
Pb  0.499  0.499  0.499
Cl  0.750  0.750  0.750
Ta  0.250  0.250  0.250


Number 1: energy -0.1731 Ha/atom, DOS at the Fermi energy 2.94 states/eV/f.u., total magnetic moment 0.00 μB per cell. Number 2: energy -0.1417 Ha/atom, DOS at the Fermi energy 4.02 states/eV/f.u., total magnetic moment 0.00 μB per cell. Number 3: energy -0.1908 Ha/atom, DOS at the Fermi energy 2.81 states/eV/f.u., total magnetic moment 0.00 μB per cell. Number 4: energy -0.1757 Ha/atom, DOS at the Fermi energy 3.18 states/eV/f.u., total magnetic moment 0.11 μB per cell. Number 5: energy -0.1852 Ha/atom, DOS at the Fermi energy 3.28 states/eV/f.u., total magnetic moment 0.00 μB per cell. Number 6: energy -0.1882 Ha/atom, DOS at the Fermi energy 2.46 states/eV/f.u., total magnetic moment 0.00 μB per cell. Number 7: energy -0.1717 Ha/atom, DOS at the Fermi energy 3.53 states/eV/f.u., total magnetic moment 0.45 μB per cell. Number 8: energy -0.1842 Ha/atom, DOS at the Fermi energy 3.19 states/eV/f.u., total magnetic moment 0.00 μB per cell.